# 1
Lu2PdO | GGA-PBE | optimized geometry

Energy relative to the lowest polymorph listed for this composition ... 0.000 eV per atom
E_form (uncorrected) ... -5.2 eV per formula unit
Space-group type ... R-3m, No. 166

Cell: 3.247 3.247 8.222 Å, 78.61 78.61 60.00°
Fractional positions:
Lu (0.108, 0.108, 0.676)
Lu (0.892, 0.892, 0.324)
O (0.500, 0.500, 0.500)
Pd (0.000, 0.000, 0.000)

# 2
Sb3SeCl7 | GGA-PBE | optimized geometry

E_form (uncorrected) ... -8.4 eV per formula unit
Space-group type ... Cm, No. 8

Cell: 8.033 8.584 7.808 Å, 76.22 59.04 62.10°
Fractional positions:
Sb (0.064, 0.251, 0.621)
Sb (0.587, 0.723, 0.610)
Sb (0.080, 0.723, 0.610)
Se (0.807, 0.548, 0.838)
Cl (0.369, 0.883, 0.380)
Cl (0.298, 0.583, 0.821)
Cl (0.873, 0.864, 0.390)
Cl (0.248, 0.125, 0.822)
Cl (0.805, 0.125, 0.822)
Cl (0.333, 0.479, 0.378)
Cl (0.810, 0.479, 0.378)

# 3
BaAlP2S | GGA-PBE | optimized geometry

Energy relative to the lowest polymorph listed for this composition ... 0.000 eV per atom
E_form (uncorrected) ... -2.3 eV per formula unit
Space-group type ... P4/mmm, No. 123

Cell: 4.765 4.765 5.025 Å, 90.00 90.00 90.00°
Fractional positions:
P (0.000, 0.500, 0.000)
P (0.500, 0.000, 0.000)
S (0.000, 0.000, 0.500)
Ba (0.500, 0.500, 0.500)
Al (0.000, 0.000, 0.000)

# 4
Cr2AgRh | GGA-PBE | optimized geometry

Energy of formation ... 0.327 eV per atom
Space-group type ... Pm, No. 6

Cell: 4.074 2.830 5.334 Å, 74.62 90.00 90.00°
Site moments in Bohr magnetons follow the coordinates.
Fractional positions:
Ag (0.500, 0.800, 0.771)  0.02
Cr (0.000, 0.178, 0.013)  2.70
Cr (0.500, 0.062, 0.258)  -2.55
Rh (0.000, 0.459, 0.458)  0.00

# 5
LaPm2Pr3Y6 | GGA-PBE | optimized geometry

Energy of formation ... 0.009 eV per atom
Space-group type ... C2/m, No. 12

Cell: 6.315 6.315 11.923 Å, 95.05 95.05 119.99°
Fractional positions:
La (0.000, 0.000, 0.000)
Pm (0.333, 0.667, 0.000)
Pm (0.667, 0.333, 0.000)
Pr (0.167, 0.833, 0.500)
Pr (0.833, 0.167, 0.500)
Pr (0.500, 0.500, 0.500)
Y (0.917, 0.583, 0.751)
Y (0.749, 0.749, 0.250)
Y (0.083, 0.417, 0.249)
Y (0.583, 0.917, 0.751)
Y (0.251, 0.251, 0.750)
Y (0.417, 0.083, 0.249)

# 6
Li2PmRh | GGA-PBE | optimized geometry

Energy relative to the lowest polymorph listed for this composition ... 0.541 eV per atom
Energy of formation ... 0.277 eV per atom
Space-group type ... R-3m, No. 166

Cell: 2.970 2.970 10.520 Å, 81.88 81.88 60.00°
Site moments in Bohr magnetons follow the coordinates.
Fractional positions:
Li (0.103, 0.103, 0.690)  0.00
Li (0.897, 0.897, 0.310)  0.00
Rh (0.500, 0.500, 0.500)  0.37
Pm (0.000, 0.000, 0.000)  0.04

# 7
ZnReRh | GGA-PBE | optimized geometry

Energy relative to the lowest polymorph listed for this composition ... 0.094 eV per atom
Energy of formation ... -0.080 eV per atom
Space-group type ... P2_1/m, No. 11

Cell: 4.546 2.799 7.030 Å, 90.00 104.64 90.00°
Fractional positions:
Re (0.254, 0.250, 0.008)
Re (0.746, 0.750, 0.992)
Zn (0.029, 0.250, 0.340)
Zn (0.971, 0.750, 0.660)
Rh (0.474, 0.250, 0.673)
Rh (0.526, 0.750, 0.327)

# 8
RbScSe2 | GGA-PBE | optimized geometry

E_form (uncorrected) ... -5.9 eV per formula unit
Space-group type ... I4/mcm, No. 140

Cell: 8.499 8.499 6.980 Å, 52.50 52.50 90.00°
Fractional positions:
Sc (0.750, 0.250, 0.500)
Sc (0.250, 0.750, 0.500)
Se (0.842, 0.342, 0.000)
Se (0.158, 0.658, 0.000)
Se (0.342, 0.158, 0.000)
Se (0.658, 0.842, 0.000)
Rb (0.750, 0.750, 0.500)
Rb (0.250, 0.250, 0.500)

# 9
La2AlTlRh | GGA-PBE | optimized geometry

Energy of formation ... -0.508 eV per atom
Space-group type ... P4/mmm, No. 123

Cell: 5.515 5.515 4.836 Å, 90.00 90.00 90.00°
Fractional positions:
Tl (0.500, 0.500, 0.500)
Rh (0.000, 0.000, 0.000)
Al (0.000, 0.000, 0.500)
La (0.000, 0.500, 0.000)
La (0.500, 0.000, 0.000)

# 10
Tb3HgBi | GGA-PBE | optimized geometry

Energy of formation ... -0.429 eV per atom
Space-group type ... Pmmn, No. 59

Cell: 4.178 6.754 10.823 Å, 90.00 90.00 90.00°
Fractional positions:
Tb (0.000, 0.754, 0.310)
Tb (0.500, 0.746, 0.690)
Tb (0.500, 0.254, 0.690)
Tb (0.000, 0.246, 0.310)
Tb (0.000, 0.000, 0.917)
Tb (0.500, 0.500, 0.083)
Hg (0.000, 0.000, 0.552)
Hg (0.500, 0.500, 0.448)
Bi (0.500, 0.000, 0.138)
Bi (0.000, 0.500, 0.862)

# 11
LiAg2SbSe4 | GGA-PBE | optimized geometry

E_form (uncorrected) ... -2.7 eV per formula unit
Space-group type ... I-4, No. 82

Cell: 6.093 6.094 7.317 Å, 114.61 114.60 90.00°
Fractional positions:
Li (0.986, 0.486, 0.972)
Ag (0.486, 0.986, 0.972)
Ag (0.236, 0.236, 0.472)
Sb (0.736, 0.736, 0.472)
Se (0.629, 0.616, 0.725)
Se (0.856, 0.375, 0.218)
Se (0.362, 0.843, 0.218)
Se (0.097, 0.109, 0.725)

# 12
CuSbIr2 | GGA-PBE | optimized geometry

E_form (uncorrected) ... 0.9 eV per formula unit
Space-group type ... I-4m2, No. 119

Cell: 4.903 4.903 4.903 Å, 132.79 132.79 68.98°
Fractional positions:
Cu (0.750, 0.250, 0.500)
Ir (0.000, 0.000, 0.000)
Ir (0.250, 0.750, 0.500)
Sb (0.500, 0.500, 0.000)

# 13
Y5Mg24 | GGA-PBE | optimized geometry

Energy of formation ... -0.059 eV per atom
Space-group type ... I-43m, No. 217

Cell: 9.767 9.767 9.767 Å, 109.47 109.47 109.47°
Fractional positions:
Mg (0.000, 0.324, 0.612)
Mg (0.000, 0.612, 0.324)
Mg (0.712, 0.388, 0.388)
Mg (0.288, 0.676, 0.676)
Mg (0.324, 0.000, 0.612)
Mg (0.612, 0.000, 0.324)
Mg (0.676, 0.288, 0.676)
Mg (0.388, 0.712, 0.388)
Mg (0.676, 0.676, 0.288)
Mg (0.388, 0.388, 0.712)
Mg (0.612, 0.324, 0.000)
Mg (0.324, 0.612, 0.000)
Mg (0.000, 0.809, 0.630)
Mg (0.000, 0.630, 0.809)
Mg (0.179, 0.370, 0.370)
Mg (0.821, 0.191, 0.191)
Mg (0.809, 0.000, 0.630)
Mg (0.630, 0.000, 0.809)
Mg (0.191, 0.821, 0.191)
Mg (0.370, 0.179, 0.370)
Mg (0.191, 0.191, 0.821)
Mg (0.370, 0.370, 0.179)
Mg (0.630, 0.809, 0.000)
Mg (0.809, 0.630, 0.000)
Y (0.000, 0.000, 0.000)
Y (0.000, 0.000, 0.378)
Y (0.000, 0.378, 0.000)
Y (0.622, 0.622, 0.622)
Y (0.378, 0.000, 0.000)

# 14
AcErCdRh | GGA-PBE | optimized geometry

Energy of formation ... -0.381 eV per atom
Space-group type ... F-43m, No. 216

Cell: 5.274 5.274 5.274 Å, 60.00 60.00 60.00°
Fractional positions:
Ac (0.000, 0.000, 0.000)
Cd (0.750, 0.750, 0.750)
Rh (0.250, 0.250, 0.250)
Er (0.500, 0.500, 0.500)

# 15
CrCuSb2I | GGA-PBE | optimized geometry

Energy relative to the lowest polymorph listed for this composition ... 0.000 eV per atom
E_form (uncorrected) ... 3.6 eV per formula unit
Space-group type ... P4/mmm, No. 123

Cell: 4.974 4.974 5.777 Å, 90.00 90.00 90.00°
Site moments in Bohr magnetons follow the coordinates.
Fractional positions:
I (0.000, 0.000, 0.500)  -0.06
Sb (0.000, 0.500, 0.000)  -0.16
Sb (0.500, 0.000, 0.000)  -0.16
Cu (0.500, 0.500, 0.500)  0.01
Cr (0.000, 0.000, 0.000)  2.23

# 16
AlHg2Pt | GGA-PBE | optimized geometry

Energy of formation ... -0.116 eV per atom
Space-group type ... Pm, No. 6

Cell: 3.965 4.163 5.480 Å, 65.27 90.00 90.00°
Fractional positions:
Hg (0.000, 0.962, 0.923)
Hg (0.500, 0.293, 0.314)
Pt (0.000, 0.701, 0.489)
Al (0.500, 0.544, 0.774)

# 17
Ba7Al4Ge9 | GGA-PBE | optimized geometry

Energy of formation ... -0.517 eV per atom
Space-group type ... Fmm2, No. 42

Cell: 13.982 13.694 6.801 Å, 78.14 73.43 28.43°
Fractional positions:
Ba (0.375, 0.625, 0.625)
Ba (0.383, 0.411, 0.169)
Ba (0.454, 0.046, 0.046)
Ba (0.831, 0.964, 0.617)
Ba (0.589, 0.617, 0.964)
Ba (0.954, 0.546, 0.546)
Ba (0.036, 0.169, 0.411)
Al (0.412, 0.990, 0.588)
Al (0.010, 0.588, 0.990)
Al (0.943, 0.936, 0.057)
Al (0.064, 0.057, 0.936)
Ge (0.298, 0.414, 0.702)
Ge (0.897, 0.509, 0.103)
Ge (0.790, 0.210, 0.825)
Ge (0.805, 0.884, 0.195)
Ge (0.116, 0.195, 0.884)
Ge (0.175, 0.825, 0.210)
Ge (0.764, 0.236, 0.236)
Ge (0.586, 0.702, 0.414)
Ge (0.491, 0.103, 0.509)

# 18
HSF2 | GGA-PBE | optimized geometry

Energy relative to the lowest polymorph listed for this composition ... 0.373 eV per atom
Space-group type ... I-42d, No. 122

Cell: 4.556 4.556 4.822 Å, 61.81 61.81 90.00°
Fractional positions:
H (0.500, 0.500, 0.000)
H (0.250, 0.750, 0.500)
S (0.000, 0.000, 0.000)
S (0.750, 0.250, 0.500)
F (0.453, 0.125, 0.250)
F (0.297, 0.625, 0.250)
F (0.375, 0.547, 0.750)
F (0.875, 0.703, 0.750)

# 19
KCa2Sb | GGA-PBE | optimized geometry

E_form (uncorrected) ... -0.5 eV per formula unit
Space-group type ... C2/m, No. 12

Cell: 6.955 6.955 3.710 Å, 76.17 76.17 115.19°
Fractional positions:
Ca (0.000, 0.000, 0.000)
Ca (0.500, 0.500, 0.000)
K (0.500, 0.000, 0.500)
Sb (0.000, 0.500, 0.500)

# 20
ZrMoPt | GGA-PBE | optimized geometry

Energy relative to the lowest polymorph listed for this composition ... 0.013 eV per atom
Energy of formation ... -0.509 eV per atom
Space-group type ... Ima2, No. 46

Cell: 5.048 7.907 5.412 Å, 90.00 90.00 90.00°
Fractional positions:
Mo (0.000, 0.000, 0.211)
Mo (0.500, 0.000, 0.211)
Mo (0.500, 0.500, 0.711)
Mo (0.000, 0.500, 0.711)
Zr (0.250, 0.373, 0.189)
Zr (0.750, 0.627, 0.189)
Zr (0.750, 0.873, 0.689)
Zr (0.250, 0.127, 0.689)
Pt (0.250, 0.773, 0.911)
Pt (0.750, 0.227, 0.911)
Pt (0.750, 0.273, 0.411)
Pt (0.250, 0.727, 0.411)

# 21
Zn2Cu2Ni2Ir | GGA-PBE | optimized geometry

Energy of formation ... -0.080 eV per atom
Space-group type ... C2/m, No. 12

Cell: 3.731 4.473 5.861 Å, 97.67 90.00 114.65°
Fractional positions:
Zn (0.574, 0.149, 0.720)
Zn (0.426, 0.851, 0.280)
Cu (0.145, 0.291, 0.432)
Cu (0.855, 0.709, 0.568)
Ni (0.717, 0.434, 0.143)
Ni (0.283, 0.566, 0.857)
Ir (0.000, 0.000, 0.000)

# 22
KBeS2 | GGA-PBE | optimized geometry

Energy relative to the lowest polymorph listed for this composition ... 0.000 eV per atom
E_form (uncorrected) ... -3.1 eV per formula unit
Space-group type ... I4_1/amd, No. 141

Cell: 5.607 5.607 7.252 Å, 67.26 67.26 90.00°
Fractional positions:
Be (0.500, 0.500, 0.000)
Be (0.250, 0.750, 0.500)
K (0.000, 0.000, 0.000)
K (0.750, 0.250, 0.500)
S (0.374, 0.125, 0.250)
S (0.376, 0.625, 0.250)
S (0.375, 0.626, 0.750)
S (0.875, 0.624, 0.750)

# 23
Dy3ErPb12 | GGA-PBE | optimized geometry

Energy of formation ... -0.272 eV per atom
Space-group type ... P4/mmm, No. 123

Cell: 4.911 4.911 19.229 Å, 90.00 90.00 90.00°
Fractional positions:
Dy (0.000, 0.000, 0.250)
Dy (0.000, 0.000, 0.500)
Dy (0.000, 0.000, 0.750)
Er (0.000, 0.000, 0.000)
Pb (0.500, 0.500, 0.000)
Pb (0.500, 0.500, 0.250)
Pb (0.500, 0.500, 0.500)
Pb (0.500, 0.500, 0.750)
Pb (0.500, 0.000, 0.124)
Pb (0.500, 0.000, 0.375)
Pb (0.500, 0.000, 0.625)
Pb (0.500, 0.000, 0.876)
Pb (0.000, 0.500, 0.124)
Pb (0.000, 0.500, 0.375)
Pb (0.000, 0.500, 0.625)
Pb (0.000, 0.500, 0.876)

# 24
Cs8P2Au | GGA-PBE | optimized geometry

Energy of formation ... -0.162 eV per atom
Space-group type ... C2/m, No. 12

Cell: 5.683 8.994 12.343 Å, 103.82 103.31 90.00°
Fractional positions:
Cs (0.609, 0.479, 0.219)
Cs (0.319, 0.035, 0.638)
Cs (0.218, 0.329, 0.436)
Cs (0.048, 0.801, 0.095)
Cs (0.782, 0.671, 0.564)
Cs (0.681, 0.965, 0.362)
Cs (0.391, 0.521, 0.781)
Cs (0.952, 0.199, 0.905)
P (0.186, 0.706, 0.371)
P (0.814, 0.294, 0.629)
Au (0.500, 0.000, 0.000)

Number 1: total energy -6.0993 eV/atom, total magnetization 0.001 μB per cell. Number 2: total energy -3.3798 eV/atom, total magnetization 0.000 μB per cell. Number 3: total energy -4.5770 eV/atom, total magnetization 0.000 μB per cell. Number 4: total energy -7.0353 eV/atom, total magnetization 0.186 μB per cell. Number 5: total energy -5.6208 eV/atom, total magnetization 0.000 μB per cell. Number 6: total energy -3.7057 eV/atom, total magnetization 0.470 μB per cell. Number 7: total energy -7.1047 eV/atom, total magnetization 0.000 μB per cell. Number 8: total energy -5.0335 eV/atom, total magnetization 0.000 μB per cell. Number 9: total energy -5.1713 eV/atom, total magnetization 0.000 μB per cell. Number 10: total energy -4.0435 eV/atom, total magnetization 0.001 μB per cell. Number 11: total energy -3.5444 eV/atom, total magnetization 0.000 μB per cell. Number 12: total energy -6.2608 eV/atom, total magnetization 0.000 μB per cell. Number 13: total energy -2.4931 eV/atom, total magnetization 0.002 μB per cell. Number 14: total energy -4.6154 eV/atom, total magnetization 0.000 μB per cell. Number 15: total energy -3.9911 eV/atom, total magnetization 1.811 μB per cell. Number 16: total energy -2.7125 eV/atom, total magnetization 0.000 μB per cell. Number 17: total energy -4.0166 eV/atom, total magnetization 0.000 μB per cell. Number 18: total energy -2.9618 eV/atom, total magnetization 0.000 μB per cell. Number 19: total energy -2.4222 eV/atom, total magnetization 0.518 μB per cell. Number 20: total energy -8.9825 eV/atom, total magnetization 0.000 μB per cell. Number 21: total energy -4.5318 eV/atom, total magnetization 0.000 μB per cell. Number 22: total energy -4.0441 eV/atom, total magnetization 0.000 μB per cell. Number 23: total energy -4.2014 eV/atom, total magnetization 0.000 μB per cell. Number 24: total energy -2.0643 eV/atom, total magnetization 0.023 μB per cell.